First-principles (PBE) data for a relaxed structure of TaP2Os, as listed in Alexandria via LeMat-Bulk.

Computed properties:
density: 10.26 g/cm3
electronic total energy: -8.4728 eV/atom
calculated formation energy: 0.0 eV/f.u.

a = 4.434 Å, b = 4.434 Å, c = 7.793 Å
α = 73.47°, β = 73.47°, γ = 90.00°
Fractional coordinates of all 8 atoms:
P: 0.090 0.625 0.250
P: 0.875 0.910 0.750
P: 0.660 0.125 0.250
Ta: 0.250 0.750 0.500
P: 0.375 0.340 0.750
Os: 0.750 0.250 0.500
Ta: 0.500 0.500 0.000
Os: 0.000 0.000 0.000